[1]
! YSbMo, optimized geometry, DFT GGA-PBEsol; values from VASP
&SYSTEM
  ibrav = 0, nat = 3, ntyp = 3
/
ATOMIC_SPECIES
Y 88.91 Y.upf
Sb 121.76 Sb.upf
Mo 95.94 Mo.upf
CELL_PARAMETERS angstrom
4.6077 0.0000 0.0000
-2.3039 3.9904 0.0000
0.0000 0.0000 3.6282
ATOMIC_POSITIONS crystal
Y 0.0000 0.0000 0.0000
Sb 0.6667 0.3333 0.5000
Mo 0.3333 0.6667 0.5000
! E above lowest polymorph = 0.0 meV per atom



[2]
! YSb2Mo, optimized geometry, DFT GGA-PBEsol; values from VASP
&SYSTEM
  ibrav = 0, nat = 8, ntyp = 3
/
ATOMIC_SPECIES
Y 88.91 Y.upf
Sb 121.76 Sb.upf
Mo 95.94 Mo.upf
CELL_PARAMETERS angstrom
-2.1921 2.1921 9.9666
2.1921 -2.1921 9.9666
2.1921 2.1921 -9.9666
ATOMIC_POSITIONS crystal
Y 0.0000 0.0000 0.0000
Y 0.7500 0.2500 0.5000
Sb 0.1543 0.6250 0.0293
Sb 0.3750 0.4043 0.5293
Sb 0.5957 0.1250 0.9707
Sb 0.8750 0.8457 0.4707
Mo 0.2500 0.7500 0.5000
Mo 0.5000 0.5000 0.0000
! E above lowest polymorph = 284.1 meV per atom



[3]
A plane-wave DFT calculation with GGA-PBEsol was carried out for a relaxed structure of ZnSb2Mo. Values from VASP.

Quantum ESPRESSO input file:
```
&SYSTEM
  ibrav = 0, nat = 4, ntyp = 3
/
ATOMIC_SPECIES
Zn 65.41 Zn.upf
Sb 121.76 Sb.upf
Mo 95.94 Mo.upf
CELL_PARAMETERS angstrom
-1.7609 2.3333 4.6118
1.7609 -2.3333 4.6118
1.7609 2.3333 -4.6118
ATOMIC_POSITIONS crystal
Zn 0.0000 0.0000 0.0000
Sb 0.4843 0.4843 0.0000
Sb 0.7542 0.2542 0.5000
Mo 0.2252 0.7252 0.5000
```



[4]
A plane-wave DFT calculation with GGA-PBEsol was carried out for a relaxed structure of ZnSb2Mo. Values from VASP.

Quantum ESPRESSO input file:
```
&SYSTEM
  ibrav = 0, nat = 4, ntyp = 3
/
ATOMIC_SPECIES
Zn 65.41 Zn.upf
Sb 121.76 Sb.upf
Mo 95.94 Mo.upf
CELL_PARAMETERS angstrom
-1.8902 2.4676 4.0571
1.8902 -2.4676 4.0571
1.8902 2.4676 -4.0571
ATOMIC_POSITIONS crystal
Zn 0.0000 0.0000 0.0000
Sb 0.2341 0.7341 0.5000
Sb 0.7659 0.2659 0.5000
Mo 0.5000 0.5000 0.0000
```



[5]
A plane-wave DFT calculation with GGA-PBEsol was carried out for a relaxed structure of ZnSb2Mo. Values from VASP.

Quantum ESPRESSO input file:
```
&SYSTEM
  ibrav = 0, nat = 4, ntyp = 3
/
ATOMIC_SPECIES
Zn 65.41 Zn.upf
Sb 121.76 Sb.upf
Mo 95.94 Mo.upf
CELL_PARAMETERS angstrom
3.4974 0.0000 0.0000
0.0000 4.4032 0.0000
0.0000 0.0000 5.0235
ATOMIC_POSITIONS crystal
Zn 0.0000 0.0000 0.0000
Sb 0.0000 0.5000 0.5000
Sb 0.5000 0.5000 0.0000
Mo 0.5000 0.0000 0.5000
```



[6]
A plane-wave DFT calculation with GGA-PBEsol was carried out for a relaxed structure of ZrSb3Mo. Values from VASP.

Quantum ESPRESSO input file:
```
&SYSTEM
  ibrav = 0, nat = 5, ntyp = 3
/
ATOMIC_SPECIES
Zr 91.22 Zr.upf
Sb 121.76 Sb.upf
Mo 95.94 Mo.upf
CELL_PARAMETERS angstrom
5.4089 0.0000 0.0000
0.0000 5.4089 0.0000
0.0000 0.0000 5.4089
ATOMIC_POSITIONS crystal
Zr 0.0000 0.0000 0.0000
Sb 0.0000 0.0000 0.5000
Sb 0.0000 0.5000 0.0000
Sb 0.5000 0.0000 0.0000
Mo 0.5000 0.5000 0.5000
```



[7]
! ZrSb2Mo, optimized geometry, DFT GGA-PBEsol; values from VASP
&SYSTEM
  ibrav = 0, nat = 4, ntyp = 3
/
ATOMIC_SPECIES
Zr 91.22 Zr.upf
Sb 121.76 Sb.upf
Mo 95.94 Mo.upf
CELL_PARAMETERS angstrom
1.6795 0.9696 8.8825
-1.6795 0.9696 8.8825
0.0000 -1.9393 8.8825
ATOMIC_POSITIONS crystal
Zr 0.0000 0.0000 0.0000
Sb 0.2466 0.2466 0.2466
Sb 0.4804 0.4804 0.4804
Mo 0.7421 0.7421 0.7421
! E above lowest polymorph = 0.0 meV per atom



[8]
A plane-wave DFT calculation with GGA-PBEsol was carried out for a relaxed structure of ZrSbMo3. Values from VASP.

Quantum ESPRESSO input file:
```
&SYSTEM
  ibrav = 0, nat = 5, ntyp = 3
/
ATOMIC_SPECIES
Zr 91.22 Zr.upf
Sb 121.76 Sb.upf
Mo 95.94 Mo.upf
CELL_PARAMETERS angstrom
4.8078 0.0000 0.0000
0.0000 4.8078 0.0000
0.0000 0.0000 4.8078
ATOMIC_POSITIONS crystal
Zr 0.0000 0.0000 0.0000
Sb 0.5000 0.5000 0.5000
Mo 0.0000 0.5000 0.5000
Mo 0.5000 0.0000 0.5000
Mo 0.5000 0.5000 0.0000
```



no.,electronic total energy (eV for the cell shown),formation energy (no corrections) (eV/atom),calculated density (g/cm3)
1,-23.3,-0.04,7.632
2,-53.3,0.26,7.426
3,-20.9,0.39,8.870
4,-21.1,0.34,8.882
5,-20.3,0.53,8.690
6,-28.8,1.14,5.797
7,-29.9,0.02,8.240
8,-40.5,1.69,7.483